VASP calculation (PBE-GGA) on a relaxed Nd3Ni2Ag2 crystal.

Unit cell a=3.9324 b=5.8826 c=8.0765 alpha=108.80 beta=90.00 gamma=109.53
With the nearest neighbours (Å) after each atom.
Fractional positions:
Nd 0.3122 0.6244 0.3256  3 Ni 2.87-2.97, 3 Ag 3.10-3.14
Nd 0.6878 0.3756 0.6744  3 Ni 2.87-2.97, 3 Ag 3.10-3.14
Nd 0.5000 0.0000 0.0000  6 Ni 3.08-3.26, 4 Ag 3.27
Ni 0.8070 0.6141 0.0641  2 Ni 2.38
Ni 0.1930 0.3859 0.9359  2 Ni 2.38
Ag 0.9647 0.9295 0.6627  1 Ni 2.73, 1 Ag 2.99
Ag 0.0353 0.0705 0.3373  1 Ni 2.73, 1 Ag 2.99

calculated volume	165	Å³/cell
space-group type	C2/m (12)
energy of formation from the pure elements	-0.3054	eV per atom
E	-4.82	eV/atom
crystal system	monoclinic

---

VASP calculation (PBE-GGA) on a relaxed Nd12NiAg6 crystal.

Unit cell a=8.3259 b=8.3259 c=8.3259 alpha=93.60 beta=93.60 gamma=93.60
With the nearest neighbours (Å) after each atom.
Fractional positions:
Nd 0.8044 0.5713 0.4583  4 Ag 3.13-3.28
Nd 0.4583 0.8044 0.5713  4 Ag 3.13-3.28
Nd 0.5713 0.4583 0.8044  4 Ag 3.13-3.28
Nd 0.1956 0.4287 0.5417  4 Ag 3.13-3.28
Nd 0.5417 0.1956 0.4287  4 Ag 3.13-3.28
Nd 0.4287 0.5417 0.1956  4 Ag 3.13-3.28
Nd 0.9668 0.0894 0.3158  1 Ni 2.72
Nd 0.9106 0.6842 0.0332  1 Ni 2.72
Nd 0.6842 0.0332 0.9106  1 Ni 2.72
Nd 0.0332 0.9106 0.6842  1 Ni 2.72
Nd 0.0894 0.3158 0.9668  1 Ni 2.72
Nd 0.3158 0.9668 0.0894  1 Ni 2.72
Ni 0.0000 0.0000 0.0000  6 Nd 2.72
Ag 0.6538 0.8582 0.2590  8 Nd 3.13-3.34
Ag 0.7410 0.3462 0.1418  8 Nd 3.13-3.34
Ag 0.1418 0.7410 0.3462  8 Nd 3.13-3.34
Ag 0.3462 0.1418 0.7410  8 Nd 3.13-3.34
Ag 0.2590 0.6538 0.8582  8 Nd 3.13-3.34
Ag 0.8582 0.2590 0.6538  8 Nd 3.13-3.34

calculated volume	574	Å³/cell
space-group type	R-3 (148)
energy of formation from the pure elements	-0.0714	eV per atom
E	-4.29	eV/atom
crystal system	trigonal

---

| no. | DOS(E_F) (states/eV/f.u.) | total magnetization (μB per formula unit) |
| --- | --- | --- |
| 1 | 5.61 | 0.0 |
| 2 | 21.68 | 0.0 |